Entry 1:
DFT (PBE-GGA) results for an optimized crystal structure of HfFeCuGe.

Lattice parameters (Å, degrees): 6.2077 6.2077 6.2077 90.00 90.00 90.00
With the nearest neighbours (Å) after each atom.
Space group F-43m (No. 216)
Asymmetric unit:
Hf (0.0000, 0.0000, 0.0000) (multiplicity 4)  4 Cu 2.69, 4 Ge 2.69
Fe (0.0000, 0.0000, 0.5000) (multiplicity 4)  4 Ge 2.69, 4 Cu 2.69
Cu (0.2500, 0.2500, 0.7500) (multiplicity 4)  4 Hf 2.69, 4 Fe 2.69
Ge (0.2500, 0.2500, 0.2500) (multiplicity 4)  4 Hf 2.69, 4 Fe 2.69

Entry 2:
DFT (PBE-GGA) results for an optimized crystal structure of HfFeCuGe.

Lattice parameters (Å, degrees): 6.1178 6.1178 6.1178 90.00 90.00 90.00
With the nearest neighbours (Å) after each atom.
Space group F-43m (No. 216)
Asymmetric unit:
Hf (0.0000, 0.0000, 0.0000) (multiplicity 4)  4 Fe 2.65, 4 Cu 2.65
Fe (0.2500, 0.2500, 0.2500) (multiplicity 4)  4 Ge 2.65, 4 Hf 2.65
Cu (0.2500, 0.2500, 0.7500) (multiplicity 4)  4 Hf 2.65, 4 Ge 2.65
Ge (0.0000, 0.0000, 0.5000) (multiplicity 4)  4 Cu 2.65, 4 Fe 2.65

Entry 3:
DFT (PBE-GGA) results for an optimized crystal structure of HoFeCuGe2.

Lattice parameters (Å, degrees): 4.0373 4.0373 10.2627 90.00 90.00 90.00
With the nearest neighbours (Å) after each atom.
Space group I-4m2 (No. 119)
Asymmetric unit:
Ho (0.0000, 0.0000, 0.0000) (multiplicity 2)  8 Ge 3.12, 4 Fe 3.26, 4 Cu 3.26
Fe (0.0000, 0.5000, 0.2500) (multiplicity 2)  4 Ge 2.41
Cu (0.0000, 0.5000, 0.7500) (multiplicity 2)  4 Ge 2.41
Ge (0.0000, 0.0000, 0.3777) (multiplicity 4)  2 Fe 2.41, 2 Cu 2.41, 1 Ge 2.51

Entry 4:
DFT (PBE-GGA) results for an optimized crystal structure of Li4FeCuGe2.

Lattice parameters (Å, degrees): 4.1529 4.1529 5.9983 90.00 90.00 90.00
With the nearest neighbours (Å) after each atom.
Space group P-4m2 (No. 115)
Asymmetric unit:
Li (0.0000, 0.0000, 0.0000) (multiplicity 1)  4 Ge 2.53, 4 Li 2.59
Li (0.0000, 0.5000, 0.7427) (multiplicity 2)  4 Li 2.54-2.59, 2 Cu 2.54, 2 Fe 2.59
Li (0.5000, 0.5000, 0.5000) (multiplicity 1)  4 Li 2.54, 4 Ge 2.60
Fe (0.5000, 0.5000, 0.0000) (multiplicity 1)  4 Ge 2.53, 4 Li 2.59
Cu (0.0000, 0.0000, 0.5000) (multiplicity 1)  4 Li 2.54, 4 Ge 2.60
Ge (0.0000, 0.5000, 0.2398) (multiplicity 2)  2 Fe 2.53, 4 Li 2.53-2.60, 2 Cu 2.60

Number 1: E -6.7384 eV per atom. Number 2: E -6.7992 eV per atom. Number 3: E -5.6082 eV per atom. Number 4: E -3.8470 eV per atom.